4
Lattice="-0.755 1.002 -3.295 -2.688 -2.281 -0.078 -5.194 6.018 3.020" Properties=species:S:1:pos:R:3 comment="PBE GdTmIn2, relaxed" e_form_mev_per_atom=-469 space_group="No. 123" total_magnetization_mub_per_atom=1.75 total_energy_ev_per_fu=-25.91 pbc="T T T"
In -3.927 4.550 2.283
In -1.267 1.468 0.737
Gd -4.318 2.370 -0.177
Tm -1.721 -0.639 -1.686


5
Lattice="3.888 0.000 0.000 0.000 3.888 0.000 -1.944 -1.944 6.003" Properties=species:S:1:pos:R:3 comment="PBE CaVCoAs2, relaxed" e_form_mev_per_atom=-604 space_group="No. 119" total_magnetization_mub_per_atom=0.17 total_energy_ev_per_fu=-30.55 pbc="T T T"
As 1.944 1.944 1.578
As 0.000 0.000 4.425
V 0.000 1.944 3.001
Ca 0.000 0.000 0.000
Co 1.944 0.000 3.001


4
Lattice="3.329 0.000 0.000 0.000 5.835 0.000 -1.664 -2.917 4.430" Properties=species:S:1:pos:R:3 comment="PBE Ce3C, relaxed" e_form_mev_per_atom=78 space_group="No. 44" total_magnetization_mub_per_atom=0.00 total_energy_ev_per_fu=-26.71 pbc="T T T"
Ce 1.664 2.232 0.000
C 0.000 0.430 0.000
Ce 0.000 2.073 2.854
Ce 1.664 -0.845 1.575


What is the formula in the third record?
Ce3C